[1]
PBE-GGA Tb2Nd6Pu, relaxed; E = -5.619 eV/atom; space-group type = C2/m; D(E_F) = 1.98 states/eV/atom; total magnetization = 6.59 μB/cell
1.0
5.155 -3.564 0.000
5.155 3.564 0.000
-2.251 0.000 8.357
Tb Nd Pu
2 6 1
Direct
0.230 0.230 0.459
0.770 0.770 0.541
0.207 0.694 0.296
0.306 0.793 0.704
0.327 0.327 0.924
0.673 0.673 0.076
0.694 0.207 0.296
0.793 0.306 0.704
0.000 0.000 0.000

=====

[2]
PBE-GGA Ba7Hg2Rh2, relaxed; E = -2.855 eV/atom; space-group type = C2/m; D(E_F) = 0.75 states/eV/atom; total magnetization = 0.00 μB/cell
1.0
6.400 -4.500 0.000
6.400 4.500 0.000
-0.009 0.000 7.903
Ba Hg Rh
7 2 2
Direct
0.000 0.000 0.000
0.000 0.500 0.255
0.000 0.500 0.745
0.500 0.000 0.255
0.500 0.000 0.745
0.500 0.500 0.239
0.500 0.500 0.761
0.169 0.831 0.500
0.831 0.169 0.500
0.299 0.299 0.000
0.701 0.701 0.000

=====

[3]
PBE-GGA Ce6ThCo3, relaxed; E = -6.501 eV/atom; space-group type = Cmc2_1; D(E_F) = 2.08 states/eV/atom; total magnetization = 0.00 μB/cell
1.0
5.781 -5.894 0.000
5.781 5.894 0.000
0.000 0.000 6.783
Ce Th Co
12 2 6
Direct
0.016 0.468 0.137
0.035 0.965 0.500
0.297 0.301 0.878
0.301 0.297 0.378
0.312 0.688 0.400
0.468 0.016 0.637
0.532 0.984 0.137
0.688 0.312 0.900
0.699 0.703 0.878
0.703 0.699 0.378
0.965 0.035 0.000
0.984 0.532 0.637
0.269 0.731 0.882
0.731 0.269 0.382
0.008 0.752 0.181
0.248 0.992 0.181
0.448 0.552 0.137
0.552 0.448 0.637
0.752 0.008 0.681
0.992 0.248 0.681

=====

[4]
PBE-GGA Ba2TiHRu, relaxed; E = -4.399 eV/atom; space-group type = P4/mmm; D(E_F) = 1.06 states/eV/atom; total magnetization = 1.35 μB/cell
1.0
6.186 0.000 0.000
0.000 6.186 0.000
0.000 0.000 4.566
Ba Ti H Ru
2 1 1 1
Direct
0.000 0.500 0.000
0.500 0.000 0.000
0.000 0.000 0.500
0.500 0.500 0.500
0.000 0.000 0.000

=====

[5]
PBE-GGA TbGa2Cu5, relaxed; E = -4.105 eV/atom; space-group type = Immm; D(E_F) = 0.43 states/eV/atom; total magnetization = 0.00 μB/cell
1.0
3.778 0.000 0.000
0.000 6.869 0.000
0.000 0.000 9.645
Tb Ga Cu
2 4 10
Direct
0.000 0.000 0.000
0.500 0.500 0.500
0.000 0.500 0.253
0.000 0.500 0.747
0.500 0.000 0.247
0.500 0.000 0.753
0.000 0.185 0.368
0.000 0.185 0.632
0.000 0.500 0.000
0.000 0.815 0.368
0.000 0.815 0.632
0.500 0.000 0.500
0.500 0.315 0.132
0.500 0.315 0.868
0.500 0.685 0.132
0.500 0.685 0.868

=====

[6]
PBE-GGA SrInPd2, relaxed; E = -4.177 eV/atom; space-group type = P4/mmm; D(E_F) = 0.47 states/eV/atom; total magnetization = 0.00 μB/cell
1.0
4.913 0.000 0.000
0.000 4.913 0.000
0.000 0.000 3.532
Sr In Pd
1 1 2
Direct
0.000 0.000 0.000
0.500 0.500 0.000
0.000 0.500 0.500
0.500 0.000 0.500

=====

[7]
PBE-GGA TaFe2Te, relaxed; space-group type = P4/mmm; formation energy (no corrections) = 245.5 meV per atom; D(E_F) = 0.83 states/eV/atom; total magnetization = 2.69 μB/cell
1.0
4.245 0.000 0.000
0.000 4.245 0.000
0.000 0.000 3.355
Ta Fe Te
1 2 1
Direct
0.000 0.000 0.000
0.000 0.500 0.500
0.500 0.000 0.500
0.500 0.500 0.000

=====

[8]
PBE-GGA BaLi2Hg, relaxed; E = -1.789 eV/atom; space-group type = P2_1/m; D(E_F) = 0.58 states/eV/atom; total magnetization = 0.00 μB/cell
1.0
4.581 0.000 0.000
0.000 8.599 0.000
-2.283 0.000 6.094
Ba Li Hg
2 4 2
Direct
0.051 0.250 0.101
0.949 0.750 0.899
0.321 0.063 0.642
0.321 0.437 0.642
0.679 0.563 0.358
0.679 0.937 0.358
0.232 0.750 0.463
0.768 0.250 0.537

=====

[9]
PBE-GGA SrGdTl, relaxed; space-group type = I4mm; D(E_F) = 1.67 states/eV/atom; total magnetization = 15.45 μB/cell; ΔE to the lowest computed polymorph = 0.000 eV/atom
1.0
3.893 0.000 0.000
0.000 3.893 0.000
0.000 0.000 13.968
Sr Gd Tl
2 2 2
Direct
0.000 0.000 0.000
0.500 0.500 0.500
0.000 0.000 0.286
0.500 0.500 0.786
0.000 0.000 0.659
0.500 0.500 0.159

=====

[10]
PBE-GGA LiTbAg2I6, relaxed; space-group type = R3; formation energy (no corrections) = -849.2 meV per atom; D(E_F) = 0.00 states/eV/atom; total magnetization = 0.00 μB/cell
1.0
3.859 2.228 7.114
-3.859 2.228 7.114
0.000 -4.457 7.114
Li Tb Ag I
1 1 2 6
Direct
0.000 0.000 0.000
0.500 0.500 0.500
0.246 0.246 0.246
0.755 0.755 0.755
0.109 0.750 0.388
0.250 0.612 0.890
0.388 0.109 0.750
0.612 0.890 0.250
0.750 0.388 0.109
0.890 0.250 0.612

=====

[11]
PBE-GGA BaSi2As, relaxed; space-group type = Cmmm; formation energy (no corrections) = 446.2 meV per atom; D(E_F) = 0.78 states/eV/atom; total magnetization = 0.00 μB/cell
1.0
6.387 0.000 0.000
0.000 9.492 0.000
0.000 0.000 3.175
Ba Si As
2 4 2
Direct
0.000 0.000 0.000
0.500 0.500 0.000
0.250 0.250 0.500
0.250 0.750 0.500
0.750 0.250 0.500
0.750 0.750 0.500
0.000 0.500 0.000
0.500 0.000 0.000

=====

[12]
PBE-GGA SrAsAuSe2, relaxed; space-group type = P4/mmm; formation energy (no corrections) = -322.9 meV per atom; D(E_F) = 0.63 states/eV/atom; total magnetization = 0.46 μB/cell; ΔE to the lowest computed polymorph = 0.000 eV/atom
1.0
5.344 0.000 0.000
0.000 5.344 0.000
0.000 0.000 4.858
Sr As Au Se
1 1 1 2
Direct
0.000 0.000 0.000
0.500 0.500 0.000
0.500 0.500 0.500
0.000 0.500 0.500
0.500 0.000 0.500

=====

[13]
PBE-GGA TiIr3Ru, relaxed; space-group type = Pm-3m; D(E_F) = 2.01 states/eV/atom; total magnetization = 0.00 μB/cell; ΔE to the lowest computed polymorph = 0.117 eV/atom
1.0
4.659 0.000 0.000
0.000 4.659 0.000
0.000 0.000 4.659
Ti Ir Ru
1 3 1
Direct
0.000 0.000 0.000
0.000 0.500 0.500
0.500 0.000 0.500
0.500 0.500 0.000
0.500 0.500 0.500

=====

[14]
PBE-GGA VBWC2, relaxed; E = -7.463 eV/atom; space-group type = P4/mmm; D(E_F) = 0.63 states/eV/atom; total magnetization = 0.00 μB/cell
1.0
3.509 0.000 0.000
0.000 3.509 0.000
0.000 0.000 4.299
V B W C
1 1 1 2
Direct
0.000 0.000 0.000
0.500 0.500 0.500
0.500 0.500 0.000
0.000 0.500 0.500
0.500 0.000 0.500

=====

[15]
PBE-GGA NbAu2I8, relaxed; space-group type = C2/m; formation energy (no corrections) = -165.8 meV per atom; D(E_F) = 0.43 states/eV/atom; total magnetization = 0.00 μB/cell; ΔE to the lowest computed polymorph = 0.013 eV/atom
1.0
6.659 -4.919 0.000
6.659 4.919 0.000
-0.395 0.000 7.169
Nb Au I
1 2 8
Direct
0.000 0.000 0.000
0.212 0.212 0.799
0.788 0.788 0.201
0.134 0.706 0.215
0.166 0.166 0.245
0.294 0.866 0.785
0.401 0.401 0.728
0.599 0.599 0.272
0.706 0.134 0.215
0.834 0.834 0.755
0.866 0.294 0.785

=====

[16]
PBE-GGA LiCaPb3, relaxed; space-group type = P2_1/m; D(E_F) = 0.53 states/eV/atom; total magnetization = 0.00 μB/cell; ΔE to the lowest computed polymorph = 0.000 eV/atom
1.0
3.650 0.000 0.000
0.000 9.381 0.000
-0.010 0.000 8.580
Li Ca Pb
2 2 6
Direct
0.001 0.250 0.158
0.999 0.750 0.842
0.000 0.250 0.553
0.000 0.750 0.447
0.499 0.750 0.109
0.500 0.037 0.312
0.500 0.463 0.312
0.500 0.537 0.688
0.500 0.963 0.688
0.501 0.250 0.891

=====

[17]
PBE-GGA HgRhSN2, relaxed; space-group type = P4/mmm; formation energy (no corrections) = 1020.5 meV per atom; D(E_F) = 0.55 states/eV/atom; total magnetization = 0.17 μB/cell; ΔE to the lowest computed polymorph = 0.000 eV/atom
1.0
3.818 0.000 0.000
0.000 3.818 0.000
0.000 0.000 5.463
Hg Rh S N
1 1 1 2
Direct
0.000 0.000 0.000
0.500 0.500 0.500
0.500 0.500 0.000
0.000 0.500 0.500
0.500 0.000 0.500

=====

[18]
PBE-GGA ThGaP, relaxed; E = -6.096 eV/atom; space-group type = R-3m; D(E_F) = 0.43 states/eV/atom; total magnetization = 0.00 μB/cell
1.0
2.423 1.399 7.262
-2.423 1.399 7.262
0.000 -2.798 7.262
Th Ga P
2 2 2
Direct
0.090 0.090 0.090
0.910 0.910 0.910
0.337 0.337 0.337
0.663 0.663 0.663
0.221 0.221 0.221
0.779 0.779 0.779

=====

[19]
PBE-GGA AcI2N2, relaxed; space-group type = C2/m; formation energy (no corrections) = -744.9 meV per atom; D(E_F) = 0.71 states/eV/atom; total magnetization = 2.00 μB/cell
1.0
4.316 -7.067 0.000
4.316 7.067 0.000
-1.134 0.000 8.435
Ac I N
2 4 4
Direct
0.168 0.832 0.000
0.832 0.168 0.000
0.064 0.467 0.759
0.467 0.064 0.759
0.533 0.936 0.241
0.936 0.533 0.241
0.067 0.067 0.178
0.166 0.166 0.095
0.834 0.834 0.905
0.933 0.933 0.822

=====

[20]
PBE-GGA ScMnCu2, relaxed; E = -5.565 eV/atom; space-group type = I-42d; D(E_F) = 0.80 states/eV/atom; total magnetization = 11.33 μB/cell
1.0
3.723 0.000 0.000
0.000 3.723 0.000
0.000 0.000 18.350
Sc Mn Cu
4 4 8
Direct
0.000 0.000 0.000
0.000 0.500 0.250
0.500 0.000 0.750
0.500 0.500 0.500
0.000 0.000 0.500
0.000 0.500 0.750
0.500 0.000 0.250
0.500 0.500 0.000
0.221 0.250 0.625
0.250 0.721 0.875
0.250 0.779 0.375
0.279 0.250 0.125
0.721 0.750 0.125
0.750 0.221 0.375
0.750 0.279 0.875
0.779 0.750 0.625

=====

[21]
PBE-GGA La2Pm5Ho3, relaxed; E = -4.550 eV/atom; space-group type = C2/c; D(E_F) = 1.71 states/eV/atom; total magnetization = 0.00 μB/cell
1.0
5.492 -7.978 0.000
5.492 7.978 0.000
-5.454 0.000 7.901
La Pm Ho
4 10 6
Direct
0.019 0.268 0.051
0.268 0.019 0.551
0.732 0.981 0.449
0.981 0.732 0.949
0.153 0.386 0.780
0.230 0.770 0.750
0.271 0.729 0.250
0.386 0.153 0.280
0.468 0.532 0.250
0.532 0.468 0.750
0.614 0.847 0.720
0.729 0.271 0.750
0.770 0.230 0.250
0.847 0.614 0.220
0.023 0.977 0.750
0.222 0.463 0.455
0.463 0.222 0.955
0.537 0.778 0.045
0.778 0.537 0.545
0.977 0.023 0.250

=====

[22]
PBE-GGA CuRh2Au, relaxed; space-group type = P4/mmm; D(E_F) = 1.41 states/eV/atom; total magnetization = 1.29 μB/cell; ΔE to the lowest computed polymorph = 0.121 eV/atom
1.0
2.774 0.000 0.000
0.000 2.774 0.000
0.000 0.000 7.657
Cu Rh Au
1 2 1
Direct
0.000 0.000 0.000
0.500 0.500 0.227
0.500 0.500 0.773
0.000 0.000 0.500

=====

[23]
PBE-GGA Ac3Sn5, relaxed; space-group type = Pmmm; D(E_F) = 0.63 states/eV/atom; total magnetization = 0.00 μB/cell; ΔE to the lowest computed polymorph = 0.000 eV/atom
1.0
4.833 0.000 0.000
0.000 4.951 0.000
0.000 0.000 10.765
Ac Sn
3 5
Direct
0.000 0.000 0.000
0.500 0.000 0.283
0.500 0.000 0.717
0.000 0.000 0.500
0.000 0.500 0.238
0.000 0.500 0.762
0.500 0.500 0.000
0.500 0.500 0.500

=====

[24]
PBE-GGA RbBe3Nb, relaxed; space-group type = Pm-3m; D(E_F) = 1.05 states/eV/atom; total magnetization = 1.78 μB/cell; ΔE to the lowest computed polymorph = 0.000 eV/atom
1.0
4.917 0.000 0.000
0.000 4.917 0.000
0.000 0.000 4.917
Rb Be Nb
1 3 1
Direct
0.000 0.000 0.000
0.000 0.500 0.500
0.500 0.000 0.500
0.500 0.500 0.000
0.500 0.500 0.500